# 1
Entry from OQMD via LeMat-Bulk: a relaxed ZrCoBiMo crystal (PBE).

Summary:
- Calculated density: 10.54 g cm⁻³
- Raw total energy: -7.388 eV per atom
- Volume: 17.92 Å³/atom
- Polymorph energy (0 for the lowest one): 0.0 meV per atom
- M_tot: 0.01 μB/cell

Structure (POSCAR):
```
ZrCoBiMo
1.0
0.000 3.297 3.297
3.297 0.000 3.297
3.297 3.297 0.000
Zr Co Bi Mo
1 1 1 1
Direct
0.000 0.000 0.000 Zr
0.750 0.750 0.750 Co
0.500 0.500 0.500 Bi
0.250 0.250 0.250 Mo
```

# 2
Entry from OQMD via LeMat-Bulk: a relaxed Nb4CoBiN2 crystal (PBE).

Summary:
- Calculated density: 9.27 g cm⁻³
- Raw total energy: -8.838 eV per atom
- Volume: 14.95 Å³/atom
- M_tot: 0.23 μB/cell

Structure (POSCAR):
```
Nb4CoBiN2
1.0
3.224 0.000 0.000
-1.612 2.792 0.000
0.000 0.000 13.294
Nb Co Bi N
4 1 1 2
Direct
0.000 0.000 0.142 Nb
0.000 0.000 0.858 Nb
0.333 0.667 0.317 Nb
0.333 0.667 0.683 Nb
0.333 0.667 0.000 Co
0.000 0.000 0.500 Bi
0.667 0.333 0.232 N
0.667 0.333 0.768 N
```

# 3
Entry from OQMD via LeMat-Bulk: a relaxed Sc4CoBiN2 crystal (PBE).

Summary:
- Calculated density: 6.21 g cm⁻³
- Raw total energy: -7.636 eV per atom
- Volume: 15.90 Å³/atom
- M_tot: 0.58 μB/cell

Structure (POSCAR):
```
Sc4CoBiN2
1.0
3.284 0.000 0.000
-1.642 2.844 0.000
0.000 0.000 13.617
Sc Co Bi N
4 1 1 2
Direct
0.000 0.000 0.135 Sc
0.000 0.000 0.865 Sc
0.333 0.667 0.316 Sc
0.333 0.667 0.684 Sc
0.333 0.667 0.000 Co
0.000 0.000 0.500 Bi
0.667 0.333 0.241 N
0.667 0.333 0.759 N
```

# 4
Entry from OQMD via LeMat-Bulk: a relaxed Ta4CoBiN2 crystal (PBE).

Summary:
- Calculated density: 14.08 g cm⁻³
- Raw total energy: -9.662 eV per atom
- Volume: 15.03 Å³/atom
- M_tot: 0.21 μB/cell

Structure (POSCAR):
```
Ta4CoBiN2
1.0
3.148 0.000 0.000
-1.574 2.726 0.000
0.000 0.000 14.018
Ta Co Bi N
4 1 1 2
Direct
0.000 0.000 0.137 Ta
0.000 0.000 0.863 Ta
0.667 0.333 0.308 Ta
0.667 0.333 0.692 Ta
0.667 0.333 0.000 Co
0.000 0.000 0.500 Bi
0.333 0.667 0.223 N
0.333 0.667 0.777 N
```

Please write out number 3 again, unchanged.
Entry from OQMD via LeMat-Bulk: a relaxed Sc4CoBiN2 crystal (PBE).

Summary:
- Calculated density: 6.21 g cm⁻³
- Raw total energy: -7.636 eV per atom
- Volume: 15.90 Å³/atom
- M_tot: 0.58 μB/cell

Structure (POSCAR):
```
Sc4CoBiN2
1.0
3.284 0.000 0.000
-1.642 2.844 0.000
0.000 0.000 13.617
Sc Co Bi N
4 1 1 2
Direct
0.000 0.000 0.135 Sc
0.000 0.000 0.865 Sc
0.333 0.667 0.316 Sc
0.333 0.667 0.684 Sc
0.333 0.667 0.000 Co
0.000 0.000 0.500 Bi
0.667 0.333 0.241 N
0.667 0.333 0.759 N
```